1.
Material: SrNiAs2
Method: DFT, GGA-PBE
State: relaxed

ΔH_f (0 K) = -205 kJ/mol of formula units
V = 94.4 Å³/cell
DFT total energy = -18.9 eV/cell
Space-group type = Pm, No. 6

Lattice parameters (Å, degrees): 4.3950 4.8614 4.4184 88.83 90.00 90.00
Sites, in units of the cell vectors:
As (0.0000, 0.2155, 0.9201)
As (0.5000, 0.2058, 0.3225)
Ni (0.0000, 0.3611, 0.4274)
Sr (0.5000, 0.7177, 0.8299)

---

2.
Material: PrNd3Tl4Se8
Method: DFT, GGA-PBE
State: relaxed

Energy relative to the elements, uncorrected = -22.05 eV per formula unit
V = 504.6 Å³/cell
DFT total energy = -78.5 eV/cell
Space-group type = R-3m, No. 166

Lattice parameters (Å, degrees): 8.6703 9.2285 8.6694 118.03 120.00 90.00
Sites, in units of the cell vectors:
Pr (0.0000, 0.5000, 0.0000)
Nd (0.5000, 0.5000, 0.0000)
Nd (0.5000, 0.5000, 0.5000)
Nd (0.0000, 0.5000, 0.5000)
Tl (0.5000, 0.0000, 0.0000)
Tl (0.5000, 0.0000, 0.5000)
Tl (0.0000, 0.0000, 0.0000)
Tl (0.0000, 0.0000, 0.5000)
Se (0.2380, 0.7115, 0.9736)
Se (0.2380, 0.7115, 0.4760)
Se (0.2630, 0.2892, 0.5261)
Se (0.7356, 0.7115, 0.9736)
Se (0.2644, 0.2885, 0.0264)
Se (0.7370, 0.7108, 0.4739)
Se (0.7620, 0.2885, 0.5240)
Se (0.7620, 0.2885, 0.0264)

---

3.
Material: MgMnTl
Method: DFT, GGA-PBE
State: relaxed

ΔH_f (0 K) = 87 kJ/mol of formula units
V = 61.0 Å³/cell
DFT total energy = -12.2 eV/cell
Space-group type = I4mm, No. 107

Lattice parameters (Å, degrees): 6.2895 6.2893 3.2252 75.15 75.14 29.71
Last column: magnetic moment on the atom in μB.
Sites, in units of the cell vectors:
Mg (0.0151, 0.0151, 0.9849)  -0.04
Mn (0.6623, 0.6623, 0.3377)  3.46
Tl (0.3225, 0.3225, 0.6775)  -0.04